Entry from Alexandria via LeMat-Bulk: a geometry-optimized CsKHgBi structure (PBE).

Properties
**Spin magnetization**: 0.00 μB per formula unit
**Volume**: 388.61 Å³ per cell
**Total DFT energy (no corrections)**: -1.793 eV per atom
**E above lowest polymorph**: 0 meV per atom

Lattice parameters (Å, degrees): 12.5695 5.0786 6.6335 90.00 113.40 90.00
Closest atoms and distances in Å follow each position.
Space group Cm (No. 8)
One atom of each set of equivalent atoms:
Cs  0.0000  0.0000  0.0000 x2  3 Hg 3.76-3.93, 1 K 4.06, 3 Bi 4.17-4.21
K  0.3447  0.0000  0.3834 x2  2 Hg 3.48-3.58, 3 Bi 3.64-3.89
Hg  0.2397  0.0000  0.7963 x2  2 Bi 2.99
Bi  0.1570  0.5000  0.5444 x2  2 Hg 2.99